# RbLiSm2Cl8

A relaxed structure of RbLiSm2Cl8 (PBE, Alexandria via LeMat-Bulk).

Results
The energy comes out at -4.3669 eV/atom. The value obtained for the calculated volume is 32.8 Å³ per atom. The formation energy without anion corrections is -25.3 eV/f.u. As for the crystal system: monoclinic.

Lattice parameters (Å, degrees): 6.791 8.541 6.848 90.00 97.24 90.00
Space group P2/m (No. 10)
Unique sites:
Rb1 0.000 0.000 0.000
Li1 0.000 0.500 0.000
Sm1 0.500 0.260 0.500
Cl1 0.214 0.293 0.198
Cl2 0.313 0.500 0.671
Cl3 0.324 0.000 0.658